Version P
A relaxed Zn3CoCl crystal. Source: the Alexandria database, functional PBE-GGA.

Crystal system   cubic

a b c (Å): 4.703 4.703 4.703
angles (deg): 90.00 90.00 90.00
Space group Pm-3m (No. 221)
Inequivalent atoms, fractional coordinates:
1 Zn 0.000 0.000 0.500 [3 per cell]
2 Co 0.000 0.000 0.000 [1 per cell]
3 Cl 0.500 0.500 0.500 [1 per cell]

Version Q
A relaxed Zn3CoCl crystal. Source: the Alexandria database, functional PBE-GGA.

Crystal system   cubic

a b c (Å): 4.784 4.784 4.784
angles (deg): 90.00 90.00 90.00
Space group Pm-3m (No. 221)
Inequivalent atoms, fractional coordinates:
1 Zn 0.000 0.000 0.500 [3 per cell]
2 Co 0.500 0.500 0.500 [1 per cell]
3 Cl 0.000 0.000 0.000 [1 per cell]

Name the least stable of them. version Q.

Version P
A relaxed ZnCo3Cl crystal. Source: the Alexandria database, functional PBE-GGA.

Crystal system   cubic

a b c (Å): 4.087 4.087 4.087
angles (deg): 90.00 90.00 90.00
Space group Pm-3m (No. 221)
Inequivalent atoms, fractional coordinates:
1 Zn 0.000 0.000 0.000 [1 per cell]
2 Co 0.000 0.500 0.500 [3 per cell]
3 Cl 0.500 0.500 0.500 [1 per cell]

Version Q
A relaxed ZnCo3Cl crystal. Source: the Alexandria database, functional PBE-GGA.

Crystal system   cubic

a b c (Å): 4.493 4.493 4.493
angles (deg): 90.00 90.00 90.00
Space group Pm-3m (No. 221)
Inequivalent atoms, fractional coordinates:
1 Zn 0.000 0.000 0.000 [1 per cell]
2 Co 0.000 0.000 0.500 [3 per cell]
3 Cl 0.500 0.500 0.500 [1 per cell]

Name the least stable of them. version Q.

Version P
A relaxed ZrCoCl2 crystal. Source: the Alexandria database, functional PBE-GGA.

Crystal system   orthorhombic

a b c (Å): 3.129 4.175 5.348
angles (deg): 90.00 90.00 90.00
Space group Pmmm (No. 47)
Inequivalent atoms, fractional coordinates:
1 Zr 0.000 0.000 0.000 [1 per cell]
2 Co 0.500 0.000 0.500 [1 per cell]
3 Cl 0.000 0.500 0.500 [1 per cell]
4 Cl 0.500 0.500 0.000 [1 per cell]

Version Q
A relaxed ZrCoCl2 crystal. Source: the Alexandria database, functional PBE-GGA.

Crystal system   tetragonal

a b c (Å): 4.179 4.179 7.686
angles (deg): 90.00 90.00 90.00
Space group I4/mmm (No. 139)
Inequivalent atoms, fractional coordinates:
1 Zr 0.000 0.000 0.000 [2 per cell]
2 Co 0.000 0.000 0.500 [2 per cell]
3 Cl 0.000 0.500 0.250 [4 per cell]

Name the least stable of them. version Q.

Version P
A relaxed Zr2CoCl crystal. Source: the Alexandria database, functional PBE-GGA.

Crystal system   tetragonal

a b c (Å): 3.277 3.277 7.642
angles (deg): 90.00 90.00 90.00
Space group P4mm (No. 99)
Inequivalent atoms, fractional coordinates:
1 Zr 0.000 0.000 0.000 [1 per cell]
2 Zr 0.500 0.500 0.285 [1 per cell]
3 Co 0.500 0.500 0.861 [1 per cell]
4 Cl 0.000 0.000 0.501 [1 per cell]

Version Q
A relaxed Zr2CoCl crystal. Source: the Alexandria database, functional PBE-GGA.

Crystal system   orthorhombic

a b c (Å): 3.788 5.252 7.239
angles (deg): 90.00 90.00 90.00
Space group Immm (No. 71)
Inequivalent atoms, fractional coordinates:
1 Zr 0.000 0.000 0.243 [4 per cell]
2 Co 0.000 0.500 0.500 [2 per cell]
3 Cl 0.000 0.500 0.000 [2 per cell]

Version R
A relaxed Zr2CoCl crystal. Source: the Alexandria database, functional PBE-GGA.

Crystal system   monoclinic

a b c (Å): 6.490 7.266 3.075
angles (deg): 90.00 105.59 90.00
Space group C2/m (No. 12)
Inequivalent atoms, fractional coordinates:
1 Zr 0.250 0.250 0.000 [4 per cell]
2 Co 0.000 0.000 0.500 [2 per cell]
3 Cl 0.000 0.500 0.500 [2 per cell]

Name the least stable of them. version Q.

Version P
A relaxed Zr2CoCl crystal. Source: the Alexandria database, functional PBE-GGA.

Crystal system   tetragonal

a b c (Å): 3.091 3.091 7.561
angles (deg): 90.00 90.00 90.00
Space group P4/mmm (No. 123)
Inequivalent atoms, fractional coordinates:
1 Zr 0.000 0.000 0.217 [2 per cell]
2 Co 0.500 0.500 0.000 [1 per cell]
3 Cl 0.500 0.500 0.500 [1 per cell]

Version Q
A relaxed Zr2CoCl crystal. Source: the Alexandria database, functional PBE-GGA.

Crystal system   orthorhombic

a b c (Å): 3.080 3.223 7.730
angles (deg): 90.00 90.00 90.00
Space group Pmmm (No. 47)
Inequivalent atoms, fractional coordinates:
1 Zr 0.000 0.000 0.207 [2 per cell]
2 Co 0.500 0.500 0.000 [1 per cell]
3 Cl 0.500 0.000 0.500 [1 per cell]

Name the least stable of them. version P.

Version P
A relaxed Zr2CoCl crystal. Source: the Alexandria database, functional PBE-GGA.

Crystal system   monoclinic

a b c (Å): 6.101 3.897 7.091
angles (deg): 90.00 105.22 90.00
Space group C2/m (No. 12)
Inequivalent atoms, fractional coordinates:
1 Zr 0.239 0.000 0.188 [4 per cell]
2 Co 0.000 0.500 0.000 [2 per cell]
3 Cl 0.000 0.000 0.500 [2 per cell]

Version Q
A relaxed Zr2CoCl crystal. Source: the Alexandria database, functional PBE-GGA.

Crystal system   cubic

a b c (Å): 6.652 6.652 6.652
angles (deg): 90.00 90.00 90.00
Space group F-43m (No. 216)
Inequivalent atoms, fractional coordinates:
1 Zr 0.000 0.000 0.000 [4 per cell]
2 Zr 0.250 0.250 0.250 [4 per cell]
3 Co 0.000 0.000 0.500 [4 per cell]
4 Cl 0.250 0.250 0.750 [4 per cell]

Version R
A relaxed Zr2CoCl crystal. Source: the Alexandria database, functional PBE-GGA.

Crystal system   orthorhombic

a b c (Å): 6.280 7.169 3.065
angles (deg): 90.00 90.00 90.00
Space group Cmmm (No. 65)
Inequivalent atoms, fractional coordinates:
1 Zr 0.250 0.250 0.000 [4 per cell]
2 Co 0.000 0.000 0.500 [2 per cell]
3 Cl 0.000 0.500 0.500 [2 per cell]

Version S
A relaxed Zr2CoCl crystal. Source: the Alexandria database, functional PBE-GGA.

Crystal system   orthorhombic

a b c (Å): 3.275 3.379 14.349
angles (deg): 90.00 90.00 90.00
Space group Imm2 (No. 44)
Inequivalent atoms, fractional coordinates:
1 Zr 0.000 0.000 0.000 [2 per cell]
2 Zr 0.000 0.500 0.297 [2 per cell]
3 Co 0.000 0.000 0.427 [2 per cell]
4 Cl 0.000 0.500 0.682 [2 per cell]

Name the least stable of them. version Q.

Version P
A relaxed Zr2CoCl crystal. Source: the Alexandria database, functional PBE-GGA.

Crystal system   tetragonal

a b c (Å): 5.682 5.682 11.792
angles (deg): 90.00 90.00 90.00
Space group I-42d (No. 122)
Inequivalent atoms, fractional coordinates:
1 Zr 0.215 0.250 0.125 [8 per cell]
2 Co 0.000 0.000 0.000 [4 per cell]
3 Cl 0.000 0.000 0.500 [4 per cell]

Version Q
A relaxed Zr2CoCl crystal. Source: the Alexandria database, functional PBE-GGA.

Crystal system   cubic

a b c (Å): 6.536 6.536 6.536
angles (deg): 90.00 90.00 90.00
Space group Fm-3m (No. 225)
Inequivalent atoms, fractional coordinates:
1 Zr 0.250 0.250 0.250 [8 per cell]
2 Co 0.000 0.000 0.000 [4 per cell]
3 Cl 0.000 0.000 0.500 [4 per cell]

Version R
A relaxed Zr2CoCl crystal. Source: the Alexandria database, functional PBE-GGA.

Crystal system   orthorhombic

a b c (Å): 3.335 3.372 14.474
angles (deg): 90.00 90.00 90.00
Space group Amm2 (No. 38)
Inequivalent atoms, fractional coordinates:
1 Zr 0.000 0.000 0.000 [2 per cell]
2 Zr 0.500 0.000 0.198 [2 per cell]
3 Co 0.000 0.000 0.629 [2 per cell]
4 Cl 0.500 0.000 0.388 [2 per cell]

Name the least stable of them. version P.

Version P
A relaxed ZrCo2Cl2 crystal. Source: the Alexandria database, functional PBE-GGA.

Crystal system   tetragonal

a b c (Å): 6.957 6.957 3.085
angles (deg): 90.00 90.00 90.00
Space group P4/mbm (No. 127)
Inequivalent atoms, fractional coordinates:
1 Zr 0.000 0.000 0.000 [2 per cell]
2 Co 0.142 0.358 0.500 [4 per cell]
3 Cl 0.171 0.671 0.000 [4 per cell]

Version Q
A relaxed ZrCo2Cl2 crystal. Source: the Alexandria database, functional PBE-GGA.

Crystal system   tetragonal

a b c (Å): 3.633 3.633 11.132
angles (deg): 90.00 90.00 90.00
Space group I4/mmm (No. 139)
Inequivalent atoms, fractional coordinates:
1 Zr 0.000 0.000 0.000 [2 per cell]
2 Co 0.000 0.500 0.250 [4 per cell]
3 Cl 0.000 0.000 0.375 [4 per cell]

Name the least stable of them. version Q.

Version P
A relaxed ZrCo2Cl crystal. Source: the Alexandria database, functional PBE-GGA.

Crystal system   monoclinic

a b c (Å): 6.493 3.746 6.612
angles (deg): 90.00 90.38 90.00
Space group Cm (No. 8)
Inequivalent atoms, fractional coordinates:
1 Zr 0.000 0.000 0.000 [2 per cell]
2 Co 0.165 0.500 0.748 [2 per cell]
3 Co 0.332 0.000 0.764 [2 per cell]
4 Cl 0.168 0.500 0.266 [2 per cell]

Version Q
A relaxed ZrCo2Cl crystal. Source: the Alexandria database, functional PBE-GGA.

Crystal system   tetragonal

a b c (Å): 4.404 4.404 13.588
angles (deg): 90.00 90.00 90.00
Space group I-42d (No. 122)
Inequivalent atoms, fractional coordinates:
1 Zr 0.000 0.000 0.000 [4 per cell]
2 Co 0.115 0.250 0.625 [8 per cell]
3 Cl 0.000 0.000 0.500 [4 per cell]

Version R
A relaxed ZrCo2Cl crystal. Source: the Alexandria database, functional PBE-GGA.

Crystal system   trigonal

a b c (Å): 3.1516 3.1516 22.8162
angles (deg): 90.00 90.00 120.00
Space group R-3m (No. 166, hexagonal axes)
Inequivalent atoms, fractional coordinates:
1 Zr 0.0000 0.0000 0.0000 [3 per cell]
2 Co 0.0000 0.0000 0.2482 [6 per cell]
3 Cl 0.0000 0.0000 0.5000 [3 per cell]

Name the least stable of them. version Q.

Version P
A relaxed Cr2Cl crystal. Source: the Alexandria database, functional PBE-GGA.

Crystal system   hexagonal

a b c (Å): 4.9500 4.9500 5.8904
angles (deg): 90.00 90.00 120.00
Space group P6_3/mmc (No. 194)
Inequivalent atoms, fractional coordinates:
1 Cr 0.0000 0.0000 0.0000 [2 per cell]
2 Cr 0.3333 0.6667 0.2500 [2 per cell]
3 Cl 0.3333 0.6667 0.7500 [2 per cell]

Version Q
A relaxed Cr2Cl crystal. Source: the Alexandria database, functional PBE-GGA.

Crystal system   tetragonal

a b c (Å): 3.910 3.910 3.044
angles (deg): 90.00 90.00 90.00
Space group P4/mmm (No. 123)
Inequivalent atoms, fractional coordinates:
1 Cr 0.000 0.500 0.000 [2 per cell]
2 Cl 0.000 0.000 0.500 [1 per cell]

Version R
A relaxed Cr2Cl crystal. Source: the Alexandria database, functional PBE-GGA.

Crystal system   tetragonal

a b c (Å): 2.865 2.865 10.047
angles (deg): 90.00 90.00 90.00
Space group I4/mmm (No. 139)
Inequivalent atoms, fractional coordinates:
1 Cr 0.000 0.000 0.188 [4 per cell]
2 Cl 0.000 0.000 0.500 [2 per cell]

Version S
A relaxed Cr2Cl crystal. Source: the Alexandria database, functional PBE-GGA.

Crystal system   hexagonal

a b c (Å): 4.0162 4.0162 5.8790
angles (deg): 90.00 90.00 120.00
Space group P6_3/mmc (No. 194)
Inequivalent atoms, fractional coordinates:
1 Cr 0.3333 0.6667 0.0656 [4 per cell]
2 Cl 0.0000 0.0000 0.2500 [2 per cell]

Name the least stable of them. version Q.

Version P
A relaxed Cs2LiCrCl6 crystal. Source: the Alexandria database, functional PBE-GGA.

Crystal system   cubic

a b c (Å): 10.222 10.222 10.222
angles (deg): 90.00 90.00 90.00
Space group Fm-3m (No. 225)
Inequivalent atoms, fractional coordinates:
1 Cs 0.250 0.250 0.250 [8 per cell]
2 Li 0.000 0.000 0.000 [4 per cell]
3 Cr 0.000 0.000 0.500 [4 per cell]
4 Cl 0.000 0.000 0.266 [24 per cell]

Version Q
A relaxed Cs2LiCrCl6 crystal. Source: the Alexandria database, functional PBE-GGA.

Crystal system   trigonal

a b c (Å): 7.3649 7.3649 6.1469
angles (deg): 90.00 90.00 120.00
Space group P-3m1 (No. 164)
Inequivalent atoms, fractional coordinates:
1 Cs 0.3333 0.6667 0.2601 [2 per cell]
2 Li 0.0000 0.0000 0.0000 [1 per cell]
3 Cr 0.0000 0.0000 0.5000 [1 per cell]
4 Cl 0.1504 0.3007 0.7278 [6 per cell]

Name the least stable of them. version P.